(1)
First-principles (PBE) data for a geometry-optimized Sm6DyHo12 structure, as listed in the Alexandria database.

- M_tot: 0.01 μB/f.u.
- Energy relative to the lowest polymorph listed for this composition: 254 meV per atom

a = 8.8283 Å, b = 8.8283 Å, c = 8.8283 Å
α = 99.28°, β = 99.28°, γ = 99.28°
With the nearest neighbours (Å) after each atom.
Element x y z (fractional)
Ho1 0.5314 0.8173 0.5314  9 Ho 3.48-3.89, 3 Sm 3.60-3.64
Ho2 0.1827 0.4686 0.4686  9 Ho 3.48-3.89, 3 Sm 3.60-3.64
Ho3 0.5314 0.5314 0.8173  9 Ho 3.48-3.89, 3 Sm 3.60-3.64
Ho4 0.5000 0.8824 0.1176  4 Sm 2.95-3.21, 1 Ho 3.16
Ho5 0.4686 0.4686 0.1827  9 Ho 3.48-3.89, 3 Sm 3.60-3.64
Ho6 0.4686 0.1827 0.4686  9 Ho 3.48-3.89, 3 Sm 3.60-3.64
Ho7 0.1176 0.5000 0.8824  4 Sm 2.95-3.21, 1 Ho 3.16
Ho8 0.8824 0.1176 0.5000  4 Sm 2.95-3.21, 1 Ho 3.16
Ho9 0.8173 0.5314 0.5314  9 Ho 3.48-3.89, 3 Sm 3.60-3.64
Ho10 0.5000 0.1176 0.8824  4 Sm 2.95-3.21, 1 Ho 3.16
Ho11 0.1176 0.8824 0.5000  4 Sm 2.95-3.21, 1 Ho 3.16
Ho12 0.8824 0.5000 0.1176  4 Sm 2.95-3.21, 1 Ho 3.16
Sm1 0.2072 0.2072 0.7471  4 Ho 2.95-3.21
Sm2 0.2072 0.7471 0.2072  4 Ho 2.95-3.21
Sm3 0.7928 0.7928 0.2529  4 Ho 2.95-3.21
Sm4 0.7928 0.2529 0.7928  4 Ho 2.95-3.21
Sm5 0.2529 0.7928 0.7928  4 Ho 2.95-3.21
Sm6 0.7471 0.2072 0.2072  4 Ho 2.95-3.21
Dy1 0.0000 0.0000 0.0000  6 Sm 3.64


(2)
First-principles (PBE) data for a geometry-optimized Sm8DyHo6 structure, as listed in the Alexandria database.

- M_tot: 0.00 μB/f.u.
- Energy relative to the lowest polymorph listed for this composition: 0 meV per atom

a = 9.0732 Å, b = 9.0732 Å, c = 8.6799 Å
α = 58.49°, β = 58.49°, γ = 60.00°
With the nearest neighbours (Å) after each atom.
Element x y z (fractional)
Ho1 0.7562 0.4608 0.8820  3 Sm 3.36-3.44, 1 Dy 3.47, 4 Ho 3.52-3.75
Ho2 0.9009 0.7562 0.8820  3 Sm 3.36-3.44, 1 Dy 3.47, 4 Ho 3.52-3.75
Ho3 0.2438 0.5392 0.1180  3 Sm 3.36-3.44, 1 Dy 3.47, 4 Ho 3.52-3.75
Ho4 0.0991 0.2438 0.1180  3 Sm 3.36-3.44, 1 Dy 3.47, 4 Ho 3.52-3.75
Ho5 0.4608 0.9009 0.8820  3 Sm 3.36-3.44, 1 Dy 3.47, 4 Ho 3.52-3.75
Ho6 0.5392 0.0991 0.1180  3 Sm 3.36-3.44, 1 Dy 3.47, 4 Ho 3.52-3.75
Sm1 0.2508 0.2817 0.5793  3 Ho 3.41-3.81, 5 Sm 3.43-3.44, 1 Dy 3.52
Sm2 0.7183 0.1118 0.4207  3 Ho 3.41-3.81, 5 Sm 3.43-3.44, 1 Dy 3.52
Sm3 0.2817 0.8882 0.5793  3 Ho 3.41-3.81, 5 Sm 3.43-3.44, 1 Dy 3.52
Sm4 0.8882 0.2508 0.5793  3 Ho 3.41-3.81, 5 Sm 3.43-3.44, 1 Dy 3.52
Sm5 0.1118 0.7492 0.4207  3 Ho 3.41-3.81, 5 Sm 3.43-3.44, 1 Dy 3.52
Sm6 0.7492 0.7183 0.4207  3 Ho 3.41-3.81, 5 Sm 3.43-3.44, 1 Dy 3.52
Sm7 0.4226 0.4226 0.7322  4 Sm 3.21-3.43, 3 Ho 3.36
Sm8 0.5774 0.5774 0.2678  4 Sm 3.21-3.43, 3 Ho 3.36
Dy1 0.0000 0.0000 0.0000  6 Ho 3.47, 6 Sm 3.52


(3)
First-principles (PBE) data for a geometry-optimized Sm7DyHo12 structure, as listed in the Alexandria database.

- M_tot: 0.00 μB/f.u.
- Energy relative to the lowest polymorph listed for this composition: 0 meV per atom

a = 8.7422 Å, b = 8.7422 Å, c = 8.7422 Å
α = 86.04°, β = 86.04°, γ = 86.04°
With the nearest neighbours (Å) after each atom.
Element x y z (fractional)
Sm1 0.8457 0.6015 0.9246  3 Sm 3.42-3.48, 7 Ho 3.45-3.81
Sm2 0.3985 0.0754 0.1543  3 Sm 3.42-3.48, 7 Ho 3.45-3.81
Sm3 0.6015 0.9246 0.8457  3 Sm 3.42-3.48, 7 Ho 3.45-3.81
Sm4 0.1543 0.3985 0.0754  3 Sm 3.42-3.48, 7 Ho 3.45-3.81
Sm5 0.0754 0.1543 0.3985  3 Sm 3.42-3.48, 7 Ho 3.45-3.81
Sm6 0.9246 0.8457 0.6015  3 Sm 3.42-3.48, 7 Ho 3.45-3.81
Sm7 0.5000 0.5000 0.5000  6 Ho 3.30
Ho1 0.8529 0.2548 0.7277  4 Ho 3.25-3.60, 1 Dy 3.40, 2 Sm 3.49-3.58
Ho2 0.8662 0.5034 0.3818  5 Ho 3.22-3.60, 2 Sm 3.30-3.45
Ho3 0.6182 0.1338 0.4966  5 Ho 3.22-3.60, 2 Sm 3.30-3.45
Ho4 0.4966 0.6182 0.1338  5 Ho 3.22-3.60, 2 Sm 3.30-3.45
Ho5 0.1471 0.7452 0.2723  4 Ho 3.25-3.60, 1 Dy 3.40, 2 Sm 3.49-3.58
Ho6 0.1338 0.4966 0.6182  5 Ho 3.22-3.60, 2 Sm 3.30-3.45
Ho7 0.2548 0.7277 0.8529  4 Ho 3.25-3.60, 1 Dy 3.40, 2 Sm 3.49-3.58
Ho8 0.5034 0.3818 0.8662  5 Ho 3.22-3.60, 2 Sm 3.30-3.45
Ho9 0.3818 0.8662 0.5034  5 Ho 3.22-3.60, 2 Sm 3.30-3.45
Ho10 0.2723 0.1471 0.7452  4 Ho 3.25-3.60, 1 Dy 3.40, 2 Sm 3.49-3.58
Ho11 0.7452 0.2723 0.1471  4 Ho 3.25-3.60, 1 Dy 3.40, 2 Sm 3.49-3.58
Ho12 0.7277 0.8529 0.2548  4 Ho 3.25-3.60, 1 Dy 3.40, 2 Sm 3.49-3.58
Dy1 0.0000 0.0000 0.0000  6 Ho 3.40


(4)
First-principles (PBE) data for a geometry-optimized Sm8Dy4Ho structure, as listed in the Alexandria database.

- M_tot: 0.00 μB/f.u.

a = 11.0714 Å, b = 11.0714 Å, c = 7.8203 Å
α = 90.00°, β = 135.06°, γ = 120.00°
With the nearest neighbours (Å) after each atom.
Element x y z (fractional)
Dy1 0.5000 0.0000 0.0000  8 Sm 3.43
Dy2 0.0000 0.5000 0.0000  8 Sm 3.43
Dy3 0.0000 0.0000 0.0000  8 Sm 3.25-3.26
Dy4 0.5000 0.5000 0.0000  8 Sm 3.43
Sm1 0.0007 0.2409 0.7605  4 Dy 3.26-3.43, 1 Ho 3.52
Sm2 0.0007 0.7598 0.7605  4 Dy 3.26-3.43, 1 Ho 3.52
Sm3 0.5196 0.7598 0.7605  4 Dy 3.26-3.43, 1 Ho 3.52
Sm4 0.9993 0.7591 0.2395  4 Dy 3.26-3.43, 1 Ho 3.52
Sm5 0.9993 0.2402 0.2395  4 Dy 3.26-3.43, 1 Ho 3.52
Sm6 0.5193 0.7597 0.2790  4 Dy 3.25-3.43, 1 Ho 3.51
Sm7 0.4804 0.2402 0.2395  4 Dy 3.26-3.43, 1 Ho 3.52
Sm8 0.4807 0.2404 0.7210  4 Dy 3.25-3.43, 1 Ho 3.51
Ho1 0.0000 0.5000 0.5000  8 Sm 3.51-3.52, 6 Dy 3.91


(5)
First-principles (PBE) data for a geometry-optimized Sm3Dy4Ho2 structure, as listed in the Alexandria database.

- M_tot: 0.00 μB/f.u.

a = 6.0902 Å, b = 11.2643 Å, c = 11.2643 Å
α = 61.86°, β = 62.77°, γ = 62.77°
With the nearest neighbours (Å) after each atom.
Element x y z (fractional)
Ho1 0.5789 0.7581 0.4807  4 Dy 3.31-3.56, 4 Sm 3.38-3.53
Ho2 0.4211 0.2419 0.5193  4 Dy 3.31-3.56, 4 Sm 3.38-3.53
Ho3 0.0789 0.4807 0.7581  4 Dy 3.31-3.56, 4 Sm 3.38-3.53
Ho4 0.9211 0.5193 0.2419  4 Dy 3.31-3.56, 4 Sm 3.38-3.53
Sm1 0.7496 0.0677 0.2658  6 Dy 3.38-3.53, 2 Ho 3.49-3.53
Sm2 0.7504 0.7342 0.9323  6 Dy 3.38-3.53, 2 Ho 3.49-3.53
Sm3 0.2500 0.5988 0.4012  4 Ho 3.38-3.49, 4 Dy 3.49-3.53
Sm4 0.7500 0.4012 0.5988  4 Ho 3.38-3.49, 4 Dy 3.49-3.53
Sm5 0.2504 0.9323 0.7342  6 Dy 3.38-3.53, 2 Ho 3.49-3.53
Sm6 0.2496 0.2658 0.0677  6 Dy 3.38-3.53, 2 Ho 3.49-3.53
Dy1 0.5788 0.0919 0.8142  1 Ho 3.31, 4 Sm 3.39-3.53, 3 Dy 3.40-3.56
Dy2 0.5788 0.4251 0.1478  1 Dy 3.32, 4 Sm 3.38-3.53, 3 Ho 3.40-3.56
Dy3 0.0788 0.1478 0.4251  1 Dy 3.32, 4 Sm 3.38-3.53, 3 Ho 3.40-3.56
Dy4 0.9212 0.1858 0.9081  1 Ho 3.31, 4 Sm 3.39-3.53, 3 Dy 3.40-3.56
Dy5 0.0788 0.8142 0.0919  1 Ho 3.31, 4 Sm 3.39-3.53, 3 Dy 3.40-3.56
Dy6 0.9212 0.8522 0.5749  1 Dy 3.32, 4 Sm 3.38-3.53, 3 Ho 3.40-3.56
Dy7 0.4212 0.9081 0.1858  1 Ho 3.31, 4 Sm 3.39-3.53, 3 Dy 3.40-3.56
Dy8 0.4212 0.5749 0.8522  1 Dy 3.32, 4 Sm 3.38-3.53, 3 Ho 3.40-3.56


(6)
First-principles (PBE) data for a geometry-optimized Sm7Dy2Ho4 structure, as listed in the Alexandria database.

- M_tot: 0.00 μB/f.u.

a = 7.9968 Å, b = 13.8464 Å, c = 8.0249 Å
α = 93.29°, β = 107.55°, γ = 143.84°
With the nearest neighbours (Å) after each atom.
Element x y z (fractional)
Sm1 0.8452 0.1535 0.7675  6 Sm 3.56-3.60, 4 Ho 3.57-3.59, 2 Dy 3.59
Sm2 0.0000 0.0000 0.0000  6 Sm 3.57-3.58, 4 Ho 3.58-3.59, 2 Dy 3.59
Sm3 0.5379 0.4610 0.3069  6 Sm 3.58-3.60, 4 Ho 3.58-3.59, 2 Dy 3.58-3.60
Sm4 0.4621 0.5390 0.6931  6 Sm 3.58-3.60, 4 Ho 3.58-3.59, 2 Dy 3.58-3.60
Sm5 0.7685 0.2308 0.1544  4 Ho 3.57-3.60, 2 Dy 3.57-3.58, 6 Sm 3.57-3.60
Sm6 0.1548 0.8465 0.2325  6 Sm 3.56-3.60, 4 Ho 3.57-3.59, 2 Dy 3.59
Sm7 0.2315 0.7692 0.8456  4 Ho 3.57-3.60, 2 Dy 3.57-3.58, 6 Sm 3.57-3.60
Ho1 0.0745 0.9229 0.6143  3 Ho 3.55-3.58, 2 Dy 3.57, 7 Sm 3.58-3.60
Ho2 0.9255 0.0771 0.3857  3 Ho 3.55-3.58, 2 Dy 3.57, 7 Sm 3.58-3.60
Ho3 0.3075 0.6918 0.4598  2 Dy 3.56-3.58, 3 Ho 3.56-3.60, 7 Sm 3.57-3.59
Ho4 0.6925 0.3082 0.5402  2 Dy 3.56-3.58, 3 Ho 3.56-3.60, 7 Sm 3.57-3.59
Dy1 0.3839 0.6158 0.0785  4 Ho 3.56-3.58, 1 Dy 3.56, 7 Sm 3.57-3.60
Dy2 0.6161 0.3842 0.9215  4 Ho 3.56-3.58, 1 Dy 3.56, 7 Sm 3.57-3.60


(7)
First-principles (PBE) data for a geometry-optimized Sm5Dy3Ho4 structure, as listed in the Alexandria database.

- M_tot: 0.00 μB/f.u.
- Energy relative to the lowest polymorph listed for this composition: 0 meV per atom

a = 7.1411 Å, b = 11.2923 Å, c = 12.8732 Å
α = 151.30°, β = 56.32°, γ = 129.30°
With the nearest neighbours (Å) after each atom.
Element x y z (fractional)
Sm1 0.5000 0.0000 0.5000  4 Sm 3.56-3.57, 4 Dy 3.57, 4 Ho 3.57-3.58
Sm2 0.7492 0.5002 0.0002  6 Sm 3.56-3.59, 3 Dy 3.57-3.58, 3 Ho 3.58
Sm3 0.6651 0.3332 0.1679  5 Ho 3.55-3.59, 4 Dy 3.56-3.58, 3 Sm 3.56-3.59
Sm4 0.2508 0.4998 0.9998  6 Sm 3.56-3.59, 3 Dy 3.57-3.58, 3 Ho 3.58
Sm5 0.3349 0.6668 0.8321  5 Ho 3.55-3.59, 4 Dy 3.56-3.58, 3 Sm 3.56-3.59
Ho1 0.8354 0.6692 0.8340  4 Ho 3.53-3.57, 3 Dy 3.54-3.57, 5 Sm 3.57-3.58
Ho2 0.0837 0.1683 0.3336  4 Dy 3.54-3.59, 3 Ho 3.55-3.57, 5 Sm 3.55-3.59
Ho3 0.1646 0.3308 0.1660  4 Ho 3.53-3.57, 3 Dy 3.54-3.57, 5 Sm 3.57-3.58
Ho4 0.9163 0.8317 0.6664  4 Dy 3.54-3.59, 3 Ho 3.55-3.57, 5 Sm 3.55-3.59
Dy1 0.5859 0.1683 0.3336  6 Ho 3.54-3.59, 5 Sm 3.56-3.58, 1 Dy 3.58
Dy2 0.4141 0.8317 0.6664  6 Ho 3.54-3.59, 5 Sm 3.56-3.58, 1 Dy 3.58
Dy3 0.0000 0.0000 0.5000  8 Sm 3.57-3.58, 2 Dy 3.58, 2 Ho 3.58


(8)
First-principles (PBE) data for a geometry-optimized Sm7Dy2Ho structure, as listed in the Alexandria database.

- M_tot: 0.00 μB/f.u.
- Energy relative to the lowest polymorph listed for this composition: 0 meV per atom

a = 6.2329 Å, b = 9.5264 Å, c = 9.5294 Å
α = 141.82°, β = 70.88°, γ = 102.62°
With the nearest neighbours (Å) after each atom.
Element x y z (fractional)
Dy1 0.2001 0.9999 0.5994  9 Sm 3.59-3.60, 2 Dy 3.59-3.60, 1 Ho 3.61
Dy2 0.7999 0.0001 0.4006  9 Sm 3.59-3.60, 2 Dy 3.59-3.60, 1 Ho 3.61
Sm1 0.5000 0.5000 0.0000  8 Sm 3.59-3.60, 4 Dy 3.60
Sm2 0.3998 0.9994 0.1997  7 Sm 3.60-3.61, 3 Dy 3.60, 2 Ho 3.60
Sm3 0.0989 0.5005 0.8008  8 Sm 3.59-3.61, 3 Dy 3.60, 1 Ho 3.60
Sm4 0.7009 0.4982 0.5984  2 Ho 3.59-3.60, 9 Sm 3.59-3.61, 1 Dy 3.59
Sm5 0.9011 0.4995 0.1992  8 Sm 3.59-3.61, 3 Dy 3.60, 1 Ho 3.60
Sm6 0.6002 0.0006 0.8003  7 Sm 3.60-3.61, 3 Dy 3.60, 2 Ho 3.60
Sm7 0.2991 0.5018 0.4016  2 Ho 3.59-3.60, 9 Sm 3.59-3.61, 1 Dy 3.59
Ho1 0.0000 0.0000 0.0000  10 Sm 3.59-3.60, 2 Dy 3.61


Total energy (eV per atom)
-4.15 -4.53 -4.39 -4.19 -4.54 -4.64 -4.63 -4.66